(1)
The following is a meta-GGA SCAN calculation of a PBEsol-optimized structure of LiMoAsO6, from Alexandria.

a b c (Å): 9.3720 4.9190 8.9155
angles (deg): 90.00 90.00 90.00
Space group Pna2_1 (No. 33)
Symmetry-distinct sites (fractional):
Li1 0.1228 0.1028 0.0000 x4
Mo1 0.1610 0.1103 0.6470 x4
As1 0.0516 0.4007 0.3276 x4
O1 0.0047 0.7956 0.6823 x4
O2 0.0140 0.2363 0.4949 x4
O3 0.0227 0.2848 0.8211 x4
O4 0.2363 0.4455 0.3221 x4
O5 0.2463 0.9054 0.1448 x4
O6 0.2480 0.4209 0.0203 x4

Values from the calculation:
E: -12.407 eV per atom
density: 4.42 Mg/m³
energy relative to the elements, uncorrected: -1.868 eV per atom
excess energy over the best structure of this formula in the dataset: 0.0 meV per atom

(2)
The following is a meta-GGA SCAN calculation of a PBEsol-optimized structure of AlTeW2, from Alexandria.

a b c (Å): 3.2940 4.6324 8.9315
angles (deg): 90.00 90.00 90.00
Space group Immm (No. 71)
Symmetry-distinct sites (fractional):
Al1 0.0000 0.0000 0.0000 x2
Te1 0.0000 0.0000 0.5000 x2
W1 0.0000 0.5000 0.2568 x4

Values from the calculation:
E: -45.383 eV per atom
density: 12.73 Mg/m³
energy relative to the elements, uncorrected: 0.712 eV per atom
excess energy over the best structure of this formula in the dataset: 178.7 meV per atom

(3)
The following is a meta-GGA SCAN calculation of a PBEsol-optimized structure of IrPtAu2, from Alexandria.

a b c (Å): 6.3233 6.3233 6.3233
angles (deg): 90.00 90.00 90.00
Space group F-43m (No. 216)
Symmetry-distinct sites (fractional):
Ir1 0.0000 0.0000 0.0000 x4
Pt1 0.2500 0.2500 0.7500 x4
Au1 0.0000 0.0000 0.5000 x4
Au2 0.2500 0.2500 0.2500 x4

Values from the calculation:
E: -69.503 eV per atom
energy of formation from the pure elements: 399 meV per atom
density: 20.52 Mg/m³
excess energy over the best structure of this formula in the dataset: 104.1 meV per atom